DFT (PBE) results for a relaxed structure of HoLu.

## Properties
- energy of formation from the pure elements (eV per atom) = 0.823
- V (A^3/atom) = 33.2
- crystal system = cubic
- E above lowest polymorph (eV/atom) = 0.823

abc: 4.5471 4.5471 4.5471
angles: 60.00 60.00 60.00
Closest atoms and distances in Å follow each position.
Atoms (fractional coordinates):
Ho (0.0000, 0.0000, 0.0000)  6 Lu 3.22
Lu (0.5000, 0.5000, 0.5000)  6 Ho 3.22